*i*
Entry from Alexandria: a PBEsol-optimized structure of LaBe2Fe (SCAN).

```
data_LaBe2Fe
_chemical_formula_sum 'La2 Be4 Fe2'
_space_group_name_H-M_alt 'P 1'
_space_group_IT_number 1
_space_group_name_Hall 'P 1'
_cell_length_a 4.123
_cell_length_b 4.123
_cell_length_c 8.208
_cell_angle_alpha 104.55
_cell_angle_beta 104.55
_cell_angle_gamma 90.00
loop_
_atom_site_label
_atom_site_fract_x
_atom_site_fract_y
_atom_site_fract_z
_atom_site_occupancy
La1 0.250 0.750 0.500 1
Be1 0.625 0.875 0.250 1
Fe1 0.500 0.500 0.000 1
Be2 0.625 0.375 0.750 1
Be3 0.125 0.375 0.750 1
Fe2 0.750 0.250 0.500 1
Be4 0.625 0.375 0.250 1
La2 0.000 0.000 0.000 1
```

The density of states at the Fermi level comes out at 0.6143 states/eV per atom. Its space group is No. 141. As for the total magnetization: 0.6 μB per formula unit.

=====

*ii*
Entry from Alexandria: a PBEsol-optimized structure of LaBe2Fe (SCAN).

```
data_LaBe2Fe
_chemical_formula_sum 'La1 Be2 Fe1'
_space_group_name_H-M_alt 'P 1'
_space_group_IT_number 1
_space_group_name_Hall 'P 1'
_cell_length_a 4.467
_cell_length_b 4.467
_cell_length_c 4.467
_cell_angle_alpha 60.00
_cell_angle_beta 60.00
_cell_angle_gamma 60.00
loop_
_atom_site_label
_atom_site_fract_x
_atom_site_fract_y
_atom_site_fract_z
_atom_site_occupancy
Be1 0.750 0.750 0.750 1
Fe1 0.000 0.000 0.000 1
La1 0.500 0.500 0.500 1
Be2 0.250 0.250 0.250 1
```

The density of states at the Fermi level comes out at 0.5029 states/eV per atom. Its space group is No. 225. As for the total magnetization: 3.0 μB per formula unit.

=====

Stability ranking, top entry: *i*; the second entry is 14.8 kJ/mol of atoms less favorable.

=====

*i*
Entry from Alexandria: a PBEsol-optimized structure of Be2FeOs (SCAN).

```
data_Be2FeOs
_chemical_formula_sum 'Be2 Fe1 Os1'
_space_group_name_H-M_alt 'P 1'
_space_group_IT_number 1
_space_group_name_Hall 'P 1'
_cell_length_a 2.518
_cell_length_b 2.518
_cell_length_c 7.241
_cell_angle_alpha 90.00
_cell_angle_beta 90.00
_cell_angle_gamma 111.71
loop_
_atom_site_label
_atom_site_fract_x
_atom_site_fract_y
_atom_site_fract_z
_atom_site_occupancy
Fe1 0.500 0.500 0.500 1
Os1 0.500 0.500 0.000 1
Be1 0.000 0.000 0.738 1
Be2 0.000 0.000 0.262 1
```

The density of states at the Fermi level comes out at 0.5860 states/eV per atom. Its space group is No. 65. As for the total magnetization: 2.1 μB per formula unit.

=====

*ii*
Entry from Alexandria: a PBEsol-optimized structure of Be2FeOs (SCAN).

```
data_Be2FeOs
_chemical_formula_sum 'Be2 Fe1 Os1'
_space_group_name_H-M_alt 'P 1'
_space_group_IT_number 1
_space_group_name_Hall 'P 1'
_cell_length_a 2.776
_cell_length_b 3.723
_cell_length_c 4.476
_cell_angle_alpha 114.58
_cell_angle_beta 108.06
_cell_angle_gamma 90.00
loop_
_atom_site_label
_atom_site_fract_x
_atom_site_fract_y
_atom_site_fract_z
_atom_site_occupancy
Be1 0.014 0.514 0.027 1
Os1 0.254 0.254 0.508 1
Fe1 0.490 0.990 0.980 1
Be2 0.742 0.742 0.484 1
```

The density of states at the Fermi level comes out at 0.7032 states/eV per atom. Its space group is No. 44. As for the total magnetization: 0.0 μB per formula unit.

=====

Stability ranking, top entry: *ii*; the second entry is 9.8 kJ/mol of atoms less favorable.

=====

*i*
Entry from Alexandria: a PBEsol-optimized structure of Be2FeOs (SCAN).

```
data_Be2FeOs
_chemical_formula_sum 'Be2 Fe1 Os1'
_space_group_name_H-M_alt 'P 1'
_space_group_IT_number 1
_space_group_name_Hall 'P 1'
_cell_length_a 2.681
_cell_length_b 2.681
_cell_length_c 5.472
_cell_angle_alpha 90.00
_cell_angle_beta 90.00
_cell_angle_gamma 90.00
loop_
_atom_site_label
_atom_site_fract_x
_atom_site_fract_y
_atom_site_fract_z
_atom_site_occupancy
Be1 0.000 0.000 0.036 1
Be2 0.500 0.500 0.236 1
Fe1 0.000 0.000 0.470 1
Os1 0.500 0.500 0.758 1
```

The density of states at the Fermi level comes out at 0.2494 states/eV per atom. Its space group is No. 99. As for the total magnetization: 0.0 μB per formula unit.

=====

*ii*
Entry from Alexandria: a PBEsol-optimized structure of Be2FeOs (SCAN).

```
data_Be2FeOs
_chemical_formula_sum 'Be2 Fe1 Os1'
_space_group_name_H-M_alt 'P 1'
_space_group_IT_number 1
_space_group_name_Hall 'P 1'
_cell_length_a 3.018
_cell_length_b 3.526
_cell_length_c 3.934
_cell_angle_alpha 90.00
_cell_angle_beta 90.00
_cell_angle_gamma 90.00
loop_
_atom_site_label
_atom_site_fract_x
_atom_site_fract_y
_atom_site_fract_z
_atom_site_occupancy
Be1 0.500 0.000 0.500 1
Be2 0.000 0.000 0.000 1
Fe1 0.500 0.500 0.000 1
Os1 0.000 0.500 0.500 1
```

The density of states at the Fermi level comes out at 0.4245 states/eV per atom. Its space group is No. 47. As for the total magnetization: 2.7 μB per formula unit.

=====

Stability ranking, top entry: *ii*; the second entry is 2.9 kJ/mol of atoms less favorable.